No. 1
The following is a PBE-GGA calculation of an optimized crystal structure of Nd5SmPd2, from Alexandria via LeMat-Bulk.

As for the crystal system: orthorhombic. The formation energy comes out at -7.25 kcal/mol of atoms.

extended XYZ file:
```
16
Lattice="1.9794 -6.3827 0.0000 1.9794 6.3827 0.0000 0.0000 0.0000 19.0066" Properties=species:S:1:pos:R:3 pbc="T T T"
Nd 1.9794 5.6109 11.6441
Nd 1.9794 5.6109 16.8657
Nd 1.9794 1.8707 10.2522
Nd 1.9794 1.8707 18.2577
Nd 1.9794 1.6785 4.7516
Nd 1.9794 -1.6785 14.2549
Nd 1.9794 -1.8707 0.7489
Nd 1.9794 -1.8707 8.7544
Nd 1.9794 -5.6109 2.1408
Nd 1.9794 -5.6109 7.3625
Sm 1.9794 1.7356 14.2549
Sm 1.9794 -1.7356 4.7516
Pd 1.9794 3.4544 2.5275
Pd 1.9794 3.4544 6.9758
Pd 1.9794 -3.4544 12.0308
Pd 1.9794 -3.4544 16.4791
```

No. 2
The following is a PBE-GGA calculation of an optimized crystal structure of AcTb5Er3, from Alexandria via LeMat-Bulk.

As for the crystal system: monoclinic. The formation energy comes out at 2.10 kcal/mol of atoms.

extended XYZ file:
```
18
Lattice="7.5899 -4.9510 0.0000 7.5899 4.9510 0.0000 -4.4409 0.0000 7.8299" Properties=species:S:1:pos:R:3 pbc="T T T"
Ac 4.2592 3.9957 5.8724
Ac 6.4797 -3.9957 1.9575
Tb 2.2026 0.9891 0.5914
Tb 0.9403 0.7281 7.0785
Tb -0.0179 -0.9891 4.5064
Tb 3.1608 -0.7281 3.1636
Tb 4.2592 0.6430 5.8724
Tb 6.4797 -0.6430 1.9575
Tb 7.5781 0.7281 4.6663
Tb 10.7568 0.9891 3.3235
Tb 9.7986 -0.7281 0.7514
Tb 8.5364 -0.9891 7.2385
Er 1.5745 2.4755 3.9149
Er 4.8308 2.4095 2.5941
Er 8.1286 2.4095 1.3208
Er 3.7950 -2.4755 0.0000
Er 2.6103 -2.4095 6.5091
Er 5.9082 -2.4095 5.2357
```

No. 3
The following is a PBE-GGA calculation of an optimized crystal structure of Gd2ScHg, from Alexandria via LeMat-Bulk.

As for the crystal system: trigonal. The formation energy comes out at 2.71 kcal/mol of atoms.

extended XYZ file:
```
12
Lattice="3.4299 0.0000 0.0000 -1.7149 2.9703 0.0000 0.0000 0.0000 35.2411" Properties=species:S:1:pos:R:3 pbc="T T T"
Gd 0.0000 0.0000 3.1948
Gd 0.0000 0.0000 32.0463
Gd 0.0000 1.9802 20.2993
Gd 0.0000 1.9802 26.6889
Gd 1.7149 0.9901 8.5522
Gd 1.7149 0.9901 14.9418
Sc 0.0000 0.0000 17.6206
Sc 0.0000 1.9802 5.8735
Sc 1.7149 0.9901 29.3676
Hg 0.0000 0.0000 0.0000
Hg 0.0000 1.9802 23.4941
Hg 1.7149 0.9901 11.7470
```

No. 4
The following is a PBE-GGA calculation of an optimized crystal structure of Li2TbSn3Te6, from Alexandria via LeMat-Bulk.

The raw formation energy is -0.663 eV per atom. As for the crystal system: monoclinic.

extended XYZ file:
```
12
Lattice="3.7839 -6.5640 0.0000 3.7839 6.5640 0.0000 -2.5261 0.0000 7.3211" Properties=species:S:1:pos:R:3 pbc="T T T"
Li 3.7839 4.2977 0.0000
Li 3.7839 -4.2977 0.0000
Tb 3.7839 0.0000 0.0000
Sn -1.2630 0.0000 3.6605
Sn 2.5208 2.1196 3.6605
Sn 2.5208 -2.1196 3.6605
Te -0.0108 2.1887 5.5775
Te 1.2491 0.0000 1.7640
Te -0.0108 -2.1887 5.5775
Te 5.0525 2.1887 1.7436
Te 3.7926 0.0000 5.5571
Te 5.0525 -2.1887 1.7436
```

No. 5
The following is a PBE-GGA calculation of an optimized crystal structure of Sc2GeH, from Alexandria via LeMat-Bulk.

As for the crystal system: tetragonal. For the calculated total energy, the calculation gives -5.874 eV/atom.

extended XYZ file:
```
8
Lattice="4.0616 0.0000 0.0000 0.0000 4.0616 0.0000 0.0000 0.0000 7.6167" Properties=species:S:1:pos:R:3 pbc="T T T"
Sc 1.0154 1.0154 1.1179
Sc 1.0154 3.0462 3.8083
Sc 3.0462 1.0154 3.8083
Sc 3.0462 3.0462 6.4988
Ge 1.0154 1.0154 5.9520
Ge 3.0462 3.0462 1.6647
H 1.0154 1.0154 3.1723
H 3.0462 3.0462 4.4443
```

No. 6
The following is a PBE-GGA calculation of an optimized crystal structure of ScGeBi, from Alexandria via LeMat-Bulk.

As for the crystal system: cubic. The formation energy comes out at -1.61 kcal/mol of atoms.

extended XYZ file:
```
12
Lattice="6.9109 0.0000 0.0000 0.0000 6.9109 0.0000 0.0000 0.0000 6.9109" Properties=species:S:1:pos:R:3 pbc="T T T"
Sc 0.1657 0.1657 0.1657
Sc 3.2897 6.7451 3.6212
Sc 3.6212 3.2897 6.7451
Sc 6.7451 3.6212 3.2897
Ge 1.4080 5.5029 2.0474
Ge 2.0474 1.4080 5.5029
Ge 4.8634 4.8634 4.8634
Ge 5.5029 2.0474 1.4080
Bi 0.2832 3.7386 6.6277
Bi 3.1723 3.1723 3.1723
Bi 3.7386 6.6277 0.2832
Bi 6.6277 0.2832 3.7386
```

No. 7
The following is a PBE-GGA calculation of an optimized crystal structure of ZrZn2Mo, from Alexandria via LeMat-Bulk.

As for the crystal system: tetragonal. The formation energy comes out at -2.15 kcal/mol of atoms.

extended XYZ file:
```
8
Lattice="4.0478 0.0000 0.0000 0.0000 4.0478 0.0000 0.0000 0.0000 8.0709" Properties=species:S:1:pos:R:3 pbc="T T T"
Zr 0.0000 0.0000 0.0000
Zr 2.0239 2.0239 4.0355
Zn 0.0000 2.0239 2.0177
Zn 0.0000 2.0239 6.0532
Zn 2.0239 0.0000 2.0177
Zn 2.0239 0.0000 6.0532
Mo 0.0000 0.0000 4.0355
Mo 2.0239 2.0239 0.0000
```

No. 8
The following is a PBE-GGA calculation of an optimized crystal structure of YHo7Th2, from Alexandria via LeMat-Bulk.

As for the crystal system: orthorhombic. The formation energy comes out at 17.84 kcal/mol of atoms.

extended XYZ file:
```
10
Lattice="4.3323 -8.3149 0.0000 4.3323 8.3149 0.0000 0.0000 0.0000 5.4845" Properties=species:S:1:pos:R:3 pbc="T T T"
Y 0.0000 0.0000 0.0000
Ho 1.5238 1.8275 2.7423
Ho 4.3323 4.8761 0.0000
Ho 1.5238 -1.8275 2.7423
Ho 4.3323 0.0000 2.7423
Ho 7.1408 1.8275 2.7423
Ho 4.3323 -4.8761 0.0000
Ho 7.1408 -1.8275 2.7423
Th 4.3323 3.4104 2.7423
Th 4.3323 -3.4104 2.7423
```

No. 9
The following is a PBE-GGA calculation of an optimized crystal structure of CaCuP2Cl, from Alexandria via LeMat-Bulk.

The raw formation energy is 0.721 eV per atom. As for the crystal system: tetragonal.

extended XYZ file:
```
5
Lattice="5.4490 0.0000 0.0000 0.0000 5.4490 0.0000 0.0000 0.0000 5.1142" Properties=species:S:1:pos:R:3 pbc="T T T"
Ca 0.0000 0.0000 0.0000
Cu 2.7245 2.7245 2.5571
P 0.0000 2.7245 0.0000
P 2.7245 0.0000 0.0000
Cl 0.0000 0.0000 2.5571
```

No. 10
The following is a PBE-GGA calculation of an optimized crystal structure of Pm3Nd2Sm6Pu, from Alexandria via LeMat-Bulk.

As for the crystal system: monoclinic. The formation energy comes out at 1.18 kcal/mol of atoms.

extended XYZ file:
```
12
Lattice="3.1433 -5.4539 0.0000 3.1433 5.4539 0.0000 -2.1221 0.0000 11.7939" Properties=species:S:1:pos:R:3 pbc="T T T"
Pm 0.0000 0.0000 0.0000
Pm 3.1433 1.8154 0.0000
Pm 3.1433 -1.8154 0.0000
Nd 2.0822 3.6370 5.8969
Nd 2.0822 -3.6370 5.8969
Sm 1.0565 1.7931 2.9743
Sm 0.0065 0.0000 8.8194
Sm 1.0565 -1.7931 2.9743
Sm 3.1079 1.7931 8.8195
Sm 4.1580 0.0000 2.9744
Sm 3.1079 -1.7931 8.8195
Pu 2.0822 0.0000 5.8969
```

No. 11
The following is a PBE-GGA calculation of an optimized crystal structure of Zr3Si, from Alexandria via LeMat-Bulk.

The raw formation energy is -0.365 eV per atom. As for the crystal system: hexagonal.

extended XYZ file:
```
16
Lattice="6.1160 0.0000 0.0000 -3.0580 5.2966 0.0000 0.0000 0.0000 9.8765" Properties=species:S:1:pos:R:3 pbc="T T T"
Zr -1.5290 2.6483 0.0000
Zr -1.5290 2.6483 4.9382
Zr 0.0000 1.7042 2.4691
Zr -1.5821 4.4445 2.4691
Zr 1.4759 0.8521 7.4074
Zr 3.0580 0.0000 0.0000
Zr 3.0580 0.0000 4.9382
Zr 1.5290 2.6483 0.0000
Zr 1.5290 2.6483 4.9382
Zr 1.5821 4.4445 2.4691
Zr 4.6401 0.8521 7.4074
Zr 3.0580 3.5924 7.4074
Si 0.0000 0.0000 0.0000
Si 0.0000 0.0000 4.9382
Si 0.0000 3.5311 7.4074
Si 3.0580 1.7655 2.4691
```

No. 12
The following is a PBE-GGA calculation of an optimized crystal structure of TePbW2, from Alexandria via LeMat-Bulk.

The raw formation energy is 0.543 eV per atom. As for the crystal system: orthorhombic.

extended XYZ file:
```
4
Lattice="3.3365 0.0000 0.0000 0.0000 4.1676 0.0000 0.0000 0.0000 7.4709" Properties=species:S:1:pos:R:3 pbc="T T T"
Te 0.0000 0.0000 0.0000
Pb 1.6682 2.0838 2.9754
W 0.0000 2.0838 5.4654
W 1.6682 0.0000 5.2887
```